A plane-wave DFT calculation with SCAN was carried out for a crystal of Pb2IBr relaxed with PBEsol.

a b c (Å): 5.5174 5.5174 5.5174
angles (deg): 60.00 60.00 60.00
With the nearest neighbours (Å) after each atom.
Fractional positions:
Pb 0.2500 0.2500 0.2500  4 Br 3.38, 4 I 3.38
Pb 0.7500 0.7500 0.7500  4 Br 3.38, 4 I 3.38
I 0.5000 0.5000 0.5000  8 Pb 3.38
Br 0.0000 0.0000 0.0000  8 Pb 3.38

As for the space group: No. 225. As for the formation energy from raw total energies: -0.16 eV per atom.

=====

A plane-wave DFT calculation with SCAN was carried out for a crystal of PbIBr relaxed with PBEsol.

a b c (Å): 4.3861 8.5193 10.3833
angles (deg): 90.00 90.00 90.00
With the nearest neighbours (Å) after each atom.
Fractional positions:
Pb 0.2500 0.8298 0.1546  3 Br 2.99-3.08, 2 I 3.21
Pb 0.7500 0.1702 0.8454  3 Br 2.99-3.08, 2 I 3.21
Pb 0.7500 0.6702 0.6546  3 Br 2.99-3.08, 2 I 3.21
Pb 0.2500 0.3298 0.3454  3 Br 2.99-3.08, 2 I 3.21
I 0.7500 0.0030 0.3297  4 Pb 3.21-3.55
I 0.2500 0.4970 0.8297  4 Pb 3.21-3.55
I 0.2500 0.9970 0.6703  4 Pb 3.21-3.55
I 0.7500 0.5030 0.1703  4 Pb 3.21-3.55
Br 0.2500 0.6587 0.4460  3 Pb 2.99-3.08
Br 0.7500 0.3413 0.5540  3 Pb 2.99-3.08
Br 0.2500 0.1587 0.0540  3 Pb 2.99-3.08
Br 0.7500 0.8413 0.9460  3 Pb 2.99-3.08

As for the space group: No. 62. As for the formation energy from raw total energies: -0.77 eV per atom.

=====

Across the entries above, total energy takes the values -52.10 -44.76 eV per atom, respectively.